A plane-wave DFT calculation with GGA-PBE was carried out for a relaxed Be2TlIr crystal.

The space group is Fm-3m (No. 225) and the conventional cell measures 5.984, 5.984 and 5.984 Å, with angles of 90.00, 90.00 and 90.00 degrees. The inequivalent atoms are Be at (0.250, 0.250, 0.250), Tl at (0.000, 0.000, 0.000) and Ir at (0.000, 0.000, 0.500).

The excess energy over the best structure of this formula in the dataset comes out at 360 meV/atom. As for the total moment: 0.00 μB/atom. The density of states at the Fermi level comes out at 0.37 states/eV per atom. The crystal system is cubic. The formation energy is 118 kJ/mol of formula units.

***

A plane-wave DFT calculation with GGA-PBE was carried out for a relaxed BeTl2Ir crystal.

The space group is P4/mmm (No. 123) and the conventional cell measures 3.615, 3.615 and 5.656 Å, with angles of 90.00, 90.00 and 90.00 degrees. The inequivalent atoms are Be at (0.000, 0.000, 0.000), Tl at (0.500, 0.500, 0.248) and Ir at (0.000, 0.000, 0.500).

The excess energy over the best structure of this formula in the dataset comes out at 580 meV/atom. As for the total moment: 0.00 μB/atom. The density of states at the Fermi level comes out at 0.31 states/eV per atom. The crystal system is tetragonal. The formation energy is 260 kJ/mol of formula units.

***

A plane-wave DFT calculation with GGA-PBE was carried out for a relaxed BeTl2Ir crystal.

The space group is F-43m (No. 216) and the conventional cell measures 6.746, 6.746 and 6.746 Å, with angles of 90.00, 90.00 and 90.00 degrees. The inequivalent atoms are Be at (0.000, 0.000, 0.000), Tl at (0.000, 0.000, 0.500), Tl at (0.250, 0.250, 0.750) and Ir at (0.250, 0.250, 0.250).

The excess energy over the best structure of this formula in the dataset comes out at 699 meV/atom. As for the total moment: 0.00 μB/atom. The density of states at the Fermi level comes out at 0.27 states/eV per atom. The crystal system is cubic. The formation energy is 306 kJ/mol of formula units.

***

A plane-wave DFT calculation with GGA-PBE was carried out for a relaxed BeTl2Ir crystal.

The space group is P4mm (No. 99) and the conventional cell measures 3.106, 3.106 and 8.733 Å, with angles of 90.00, 90.00 and 90.00 degrees. The inequivalent atoms are Be at (0.000, 0.000, 0.000), Tl at (0.000, 0.000, 0.337), Tl at (0.500, 0.500, 0.724) and Ir at (0.500, 0.500, 0.071).

The excess energy over the best structure of this formula in the dataset comes out at 0 meV/atom. As for the total moment: 0.00 μB/atom. The density of states at the Fermi level comes out at 0.38 states/eV per atom. The crystal system is tetragonal. The formation energy is 36 kJ/mol of formula units.